{"formula": "CrPbW2", "functional": "GGA-PBE", "state": "relaxed", "cell": [[3.212, 0.000, 0.000], [0.000, 3.212, 0.000], [0.000, 0.000, 6.970]], "species": ["Pb", "W", "W", "Cr"], "frac_coords": [[0.500, 0.500, 0.743], [0.500, 0.500, 0.257], [0.000, 0.000, 0.044], [0.000, 0.000, 0.455]], "m_tot_mub_per_fu": 2.7, "dft_energy_ev_per_atom": -9.1701, "delta_e_f_mev_per_atom": 639, "rho_g_cm3": 14.5}


{"formula": "CrPb2W", "functional": "GGA-PBE", "state": "relaxed", "cell": [[-5.048, -3.486, 4.649], [1.823, -6.797, -3.118], [0.578, -5.516, 2.863]], "species": ["Pb", "Pb", "Pb", "Pb", "Cr", "Cr", "W", "W"], "frac_coords": [[0.127, 0.625, 0.250], [0.875, 0.873, 0.750], [0.375, 0.377, 0.750], [0.623, 0.125, 0.250], [0.500, 0.500, 0.000], [0.250, 0.750, 0.500], [0.750, 0.250, 0.500], [0.000, 0.000, 0.000]], "m_tot_mub_per_fu": 4.0, "dft_energy_ev_per_atom": -6.1913, "delta_e_f_mev_per_atom": 1307, "rho_g_cm3": 11.9}


{"formula": "CrPbW2", "functional": "GGA-PBE", "state": "relaxed", "cell": [[3.422, 0.000, 0.000], [0.000, 4.401, 0.000], [0.000, 0.000, 4.542]], "species": ["Pb", "W", "W", "Cr"], "frac_coords": [[0.000, 0.500, 0.500], [0.500, 0.500, 0.000], [0.000, 0.000, 0.000], [0.500, 0.000, 0.500]], "m_tot_mub_per_fu": 2.2, "dft_energy_ev_per_atom": -9.0309, "delta_e_f_mev_per_atom": 779, "rho_g_cm3": 15.2}


{"formula": "CrPbW3", "functional": "GGA-PBE", "state": "relaxed", "cell": [[4.589, 0.000, 0.000], [0.000, 4.589, 0.000], [0.000, 0.000, 4.589]], "species": ["Pb", "W", "W", "W", "Cr"], "frac_coords": [[0.500, 0.500, 0.500], [0.500, 0.000, 0.000], [0.000, 0.500, 0.000], [0.000, 0.000, 0.500], [0.000, 0.000, 0.000]], "m_tot_mub_per_fu": 0.0, "dft_energy_ev_per_atom": -8.9113, "delta_e_f_mev_per_atom": 1527, "rho_g_cm3": 13.9}


{"formula": "CrPb2W", "functional": "GGA-PBE", "state": "relaxed", "cell": [[9.271, -0.017, -0.010], [8.685, 3.244, -0.010], [8.685, 1.561, 2.844]], "species": ["Pb", "Pb", "W", "Cr"], "frac_coords": [[0.502, 0.502, 0.502], [0.998, 0.998, 0.998], [0.250, 0.250, 0.250], [0.750, 0.750, 0.750]], "m_tot_mub_per_fu": 4.5, "dft_energy_ev_per_atom": -6.5022, "delta_e_f_mev_per_atom": 996, "rho_g_cm3": 12.5}


{"formula": "CrPb4W", "functional": "GGA-PBE", "state": "relaxed", "cell": [[0.000, 4.435, 4.435], [4.435, 0.000, 4.435], [4.435, 4.435, 0.000]], "species": ["Cr", "Pb", "Pb", "Pb", "Pb", "W"], "frac_coords": [[0.000, 0.000, 0.000], [0.376, 0.873, 0.376], [0.376, 0.376, 0.873], [0.873, 0.376, 0.376], [0.376, 0.376, 0.376], [0.750, 0.750, 0.750]], "m_tot_mub_per_fu": 8.4, "dft_energy_ev_per_atom": -4.8706, "delta_e_f_mev_per_atom": 1364, "rho_g_cm3": 10.1}


{"formula": "CrPbW2", "functional": "GGA-PBE", "state": "relaxed", "cell": [[-3.238, 2.215, 3.463], [-4.178, -2.887, 1.261], [5.233, -0.030, -0.020]], "species": ["Pb", "W", "W", "Cr"], "frac_coords": [[0.260, 0.760, 0.500], [0.739, 0.239, 0.500], [0.989, 0.989, 0.000], [0.512, 0.512, 0.000]], "m_tot_mub_per_fu": 0.0, "dft_energy_ev_per_atom": -8.9943, "delta_e_f_mev_per_atom": 815, "rho_g_cm3": 15.6}


{"formula": "CrPbW2", "functional": "GGA-PBE", "state": "relaxed", "cell": [[2.870, 0.004, 0.000], [-1.020, 2.683, 0.000], [0.000, 0.000, 9.141]], "species": ["W", "W", "Cr", "Pb"], "frac_coords": [[0.000, 0.000, 0.461], [0.000, 0.000, 0.039], [0.500, 0.500, 0.250], [0.500, 0.500, 0.750]], "m_tot_mub_per_fu": 0.0, "dft_energy_ev_per_atom": -9.0136, "delta_e_f_mev_per_atom": 796, "rho_g_cm3": 14.8}